1.
Crystalline PmDy2Ag at its relaxed geometry, computed with PBE-GGA.

Computed properties:
- V: 112.13 Å³/f.u.
- Formation energy from the elements: 0.0988 eV per atom
- Polymorph energy (0 for the lowest one): 0.231 eV per atom
- Electronic total energy: -4.103 eV/atom

abc: 7.655 7.655 7.655
angles: 90.00 90.00 90.00
Space group Fm-3m (No. 225)
Unique sites:
Pm1 0.000 0.000 0.000 x4
Dy1 0.250 0.250 0.250 x8
Ag1 0.000 0.000 0.500 x4

2.
Crystalline Pm3Er8 at its relaxed geometry, computed with PBE-GGA.

Computed properties:
- V: 367.78 Å³/f.u.
- Formation energy from the elements: 0.5788 eV per atom
- Polymorph energy (0 for the lowest one): 0.000 eV per atom
- Electronic total energy: -4.035 eV/atom

abc: 10.2375 10.2375 12.1562
angles: 90.00 90.00 120.00
Space group R-3 (No. 148, hexagonal axes)
Unique sites:
Pm1 0.0000 0.5000 0.0000 x9
Er1 0.0000 0.0000 0.3489 x6
Er2 0.0013 0.8076 0.8884 x18